DFT (SCAN) results for Al2FeIr at its PBEsol-relaxed geometry.

The structure in extended XYZ format:
```
4
Lattice="3.0810 0.0000 0.0000 0.0000 3.0810 0.0000 0.0000 0.0000 5.5949" Properties=species:S:1:pos:R:3 pbc="T T T"
Al 0.0000 0.0000 0.0000
Al 1.5405 1.5405 1.6015
Fe 0.0000 0.0000 2.7223
Ir 1.5405 1.5405 4.3263
```

VASP energy	-26.66	eV per atom
V	53	Å³ per cell
calculated formation energy	-46.01	kJ per mole of atoms